A geometry-optimized H2IrSeCl structure. Source: Alexandria via LeMat-Bulk, functional PBE.

abc: 3.442 3.442 8.071
angles: 90.00 90.00 90.00
Positions (direct):
H (0.000, 0.500, 0.000)
H (0.500, 0.000, 0.000)
Ir (0.000, 0.000, 0.500)
Se (0.500, 0.500, 0.500)
Cl (0.500, 0.500, 0.000)

Calculated values
Energy: -17.7 eV for the cell shown
D(E_F): 2.8 states/eV/cell